Entry 1:
Density functional theory data (GGA-PBEsol) for a geometry-optimized MgCdSb2 structure.

Lattice parameters (Å, degrees): 5.483 5.483 3.368 96.65 96.65 102.45
Element x y z (fractional)
Mg 0.000 0.000 0.000
Cd 0.500 0.500 0.000
Sb 0.000 0.500 0.500
Sb 0.500 0.000 0.500

Results
* crystal system: monoclinic
* space group: No. 12
* DFT total energy: -3.0219 eV/atom
* raw formation energy: -0.015 eV per atom

Entry 2:
Density functional theory data (GGA-PBEsol) for a geometry-optimized MgCdSb2 structure.

Lattice parameters (Å, degrees): 5.916 5.916 5.448 90.27 90.27 30.95
Element x y z (fractional)
Mg 0.000 0.000 0.000
Cd 0.773 0.773 0.498
Sb 0.264 0.264 0.999
Sb 0.515 0.515 0.500

Results
* crystal system: monoclinic
* space group: No. 8
* DFT total energy: -3.0510 eV/atom
* raw formation energy: -0.044 eV per atom